Material: Na2ZrBeHg
Method: DFT, PBE-GGA
State: relaxed

abc: 6.255 5.526 6.255
angles: 90.00 90.00 90.00
Positions (direct):
Na 0.000 0.000 0.500
Na 0.500 0.000 0.000
Hg 0.000 0.500 0.000
Zr 0.000 0.000 0.000
Be 0.500 0.500 0.500

Values from the calculation:
The total magnetization is 2.90 μB per cell. The calculation puts the density at 2.7 g cm⁻³. The calculation puts the raw total energy at -7.802 eV per cell. As for the energy relative to the elements: 34.2 kcal/mol of atoms.